(1)
VASP calculation (PBE) on a relaxed TmSi3OsRh crystal.

POSCAR file:
```
TmSi3OsRh
1.0
5.4119 0.0000 0.0000
0.0000 6.1318 0.0000
0.0000 -3.0659 6.9587
Rh Si Tm Os
2 6 2 2
direct
0.2500 0.3930 0.7861 Rh
0.7500 0.6070 0.2139 Rh
0.5000 0.7125 0.0000 Si
0.5000 0.2875 0.0000 Si
0.0000 0.7125 0.0000 Si
0.0000 0.2875 0.0000 Si
0.2500 0.2325 0.4649 Si
0.7500 0.7675 0.5351 Si
0.7500 0.1765 0.3530 Tm
0.2500 0.8235 0.6470 Tm
0.2500 0.0700 0.1400 Os
0.7500 0.9300 0.8600 Os
```

Summary:
DOS(E_F): 4.8 states/eV/cell
E_form (uncorrected): -2.6 eV per formula unit


(2)
VASP calculation (PBE) on a relaxed USi2OsRh crystal.

POSCAR file:
```
USi2OsRh
1.0
-0.3404 -3.7210 -1.6937
0.6764 -1.7274 3.6591
-4.9946 2.7534 -0.0767
Si Os U Rh
2 1 1 1
direct
0.6217 0.6217 0.2434 Si
0.3783 0.3783 0.7566 Si
0.7500 0.2500 0.5000 Os
0.0000 0.0000 0.0000 U
0.2500 0.7500 0.5000 Rh
```

Summary:
DOS(E_F): 5.4 states/eV/cell
E_form (uncorrected): -3.3 eV per formula unit


(3)
VASP calculation (PBE) on a relaxed U2Si6OsRh crystal.

POSCAR file:
```
U2Si6OsRh
1.0
-4.1517 -4.0797 0.3011
1.4122 -5.5052 1.2922
-2.4207 -0.7798 12.4685
Si U Os Rh
12 4 2 2
direct
0.7789 0.1914 0.8382 Si
0.9368 0.3393 0.3846 Si
0.6607 0.0632 0.6154 Si
0.3393 0.3393 0.3846 Si
0.1914 0.7789 0.8382 Si
0.0632 0.6607 0.6154 Si
0.8086 0.8086 0.1618 Si
0.8086 0.2211 0.1618 Si
0.1914 0.1914 0.8382 Si
0.6607 0.6607 0.6154 Si
0.2211 0.8086 0.1618 Si
0.3393 0.9368 0.3846 Si
0.2813 0.2813 0.1560 U
0.1274 0.1274 0.6179 U
0.8726 0.8726 0.3821 U
0.7187 0.7187 0.8440 U
0.5767 0.5767 0.2699 Os
0.4233 0.4233 0.7301 Os
0.5000 0.5000 0.5000 Rh
0.0000 0.0000 0.0000 Rh
```

Summary:
DOS(E_F): 19.5 states/eV/cell
E_form (uncorrected): -2.6 eV per formula unit